# PBE Na3Tl3VCl8, optimized geometry
data_Na3Tl3VCl8
_cell_length_a 8.2023
_cell_length_b 8.2044
_cell_length_c 8.8022
_cell_angle_alpha 117.79
_cell_angle_beta 90.00
_cell_angle_gamma 119.99
_symmetry_space_group_name_H-M 'P 1'
_symmetry_Int_Tables_number 1
_symmetry_space_group_name_Hall 'P 1'
loop_
_atom_site_label
_atom_site_type_symbol
_atom_site_fract_x
_atom_site_fract_y
_atom_site_fract_z
V1 V 0.0000 0.0000 0.5000
Na1 Na 0.5000 0.0000 0.5000
Na2 Na 0.5000 0.5000 0.5000
Na3 Na 0.0000 0.5000 0.5000
Cl1 Cl 0.7364 0.4729 0.7092
Cl2 Cl 0.2115 0.9790 0.6904
Cl3 Cl 0.2324 0.0210 0.3096
Cl4 Cl 0.7676 0.9790 0.6904
Cl5 Cl 0.2636 0.5271 0.2908
Cl6 Cl 0.7885 0.0210 0.3096
Cl7 Cl 0.2114 0.4229 0.6904
Cl8 Cl 0.7886 0.5771 0.3096
Tl1 Tl 0.0000 0.0000 0.0000
Tl2 Tl 0.5000 0.5000 0.0000
Tl3 Tl 0.0000 0.5000 0.0000
# Formation energy from raw total energies, eV per atom: -1.34
# Energy, eV for the cell shown: -55.0

# PBE NaTlWCl6, optimized geometry
data_NaTlWCl6
_cell_length_a 6.9801
_cell_length_b 6.9801
_cell_length_c 13.2513
_cell_angle_alpha 90.00
_cell_angle_beta 90.00
_cell_angle_gamma 120.00
_symmetry_space_group_name_H-M 'P 1'
_symmetry_Int_Tables_number 1
_symmetry_space_group_name_Hall 'P 1'
loop_
_atom_site_label
_atom_site_type_symbol
_atom_site_fract_x
_atom_site_fract_y
_atom_site_fract_z
Cl1 Cl 0.9535 0.6061 0.3549
Cl2 Cl 0.0465 0.6526 0.8549
Cl3 Cl 0.6061 0.9535 0.8549
Cl4 Cl 0.0465 0.3939 0.6451
Cl5 Cl 0.3939 0.3474 0.3549
Cl6 Cl 0.6526 0.0465 0.3549
Cl7 Cl 0.3939 0.0465 0.1451
Cl8 Cl 0.3474 0.3939 0.8549
Cl9 Cl 0.6526 0.6061 0.1451
Cl10 Cl 0.3474 0.9535 0.6451
Cl11 Cl 0.6061 0.6526 0.6451
Cl12 Cl 0.9535 0.3474 0.1451
Tl1 Tl 0.0000 0.0000 0.5000
Tl2 Tl 0.0000 0.0000 0.0000
W1 W 0.6667 0.3333 0.2500
W2 W 0.3333 0.6667 0.7500
Na1 Na 0.3333 0.6667 0.2500
Na2 Na 0.6667 0.3333 0.7500
# Formation energy from raw total energies, eV per atom: -1.07
# Energy, eV for the cell shown: -74.8

# PBE Na2TlWCl8, optimized geometry
data_Na2TlWCl8
_cell_length_a 7.6817
_cell_length_b 5.5638
_cell_length_c 8.8273
_cell_angle_alpha 81.99
_cell_angle_beta 79.37
_cell_angle_gamma 98.40
_symmetry_space_group_name_H-M 'P 1'
_symmetry_Int_Tables_number 1
_symmetry_space_group_name_Hall 'P 1'
loop_
_atom_site_label
_atom_site_type_symbol
_atom_site_fract_x
_atom_site_fract_y
_atom_site_fract_z
Tl1 Tl 0.0000 0.0000 0.5000
Na1 Na 0.5067 0.7900 0.3306
Na2 Na 0.4933 0.2100 0.6694
W1 W 0.0000 0.0000 0.0000
Cl1 Cl 0.7393 0.7058 0.0357
Cl2 Cl 0.1479 0.8183 0.7994
Cl3 Cl 0.1075 0.7519 0.1882
Cl4 Cl 0.8521 0.1817 0.2006
Cl5 Cl 0.6064 0.7427 0.6109
Cl6 Cl 0.3936 0.2573 0.3891
Cl7 Cl 0.8925 0.2481 0.8118
Cl8 Cl 0.2607 0.2942 0.9643
# Formation energy from raw total energies, eV per atom: -1.14
# Energy, eV for the cell shown: -46.4

# PBE NaY2TlCl8, optimized geometry
data_NaY2TlCl8
_cell_length_a 6.9736
_cell_length_b 6.6809
_cell_length_c 8.3004
_cell_angle_alpha 90.00
_cell_angle_beta 90.00
_cell_angle_gamma 85.71
_symmetry_space_group_name_H-M 'P 1'
_symmetry_Int_Tables_number 1
_symmetry_space_group_name_Hall 'P 1'
loop_
_atom_site_label
_atom_site_type_symbol
_atom_site_fract_x
_atom_site_fract_y
_atom_site_fract_z
Cl1 Cl 0.6474 0.7097 0.0000
Cl2 Cl 0.3647 0.2964 0.5000
Cl3 Cl 0.1923 0.7446 0.7733
Cl4 Cl 0.6353 0.7036 0.5000
Cl5 Cl 0.8077 0.2554 0.7733
Cl6 Cl 0.8077 0.2554 0.2267
Cl7 Cl 0.1923 0.7446 0.2267
Cl8 Cl 0.3526 0.2903 0.0000
Y1 Y 0.5000 0.5000 0.2447
Y2 Y 0.5000 0.5000 0.7553
Tl1 Tl 0.0000 0.0000 0.5000
Na1 Na 0.0000 0.0000 0.0000
# Formation energy from raw total energies, eV per atom: -1.97
# Energy, eV for the cell shown: -55.1

# PBE NaTlZnCl6, optimized geometry
data_NaTlZnCl6
_cell_length_a 6.5695
_cell_length_b 6.5695
_cell_length_c 12.6010
_cell_angle_alpha 90.00
_cell_angle_beta 90.00
_cell_angle_gamma 120.00
_symmetry_space_group_name_H-M 'P 1'
_symmetry_Int_Tables_number 1
_symmetry_space_group_name_Hall 'P 1'
loop_
_atom_site_label
_atom_site_type_symbol
_atom_site_fract_x
_atom_site_fract_y
_atom_site_fract_z
Cl1 Cl 0.3512 0.9834 0.6344
Cl2 Cl 0.6488 0.6322 0.1344
Cl3 Cl 0.6322 0.9834 0.8656
Cl4 Cl 0.3678 0.0166 0.1344
Cl5 Cl 0.3678 0.3512 0.3656
Cl6 Cl 0.3512 0.3678 0.8656
Cl7 Cl 0.6322 0.6488 0.6344
Cl8 Cl 0.6488 0.0166 0.3656
Cl9 Cl 0.9834 0.6322 0.3656
Cl10 Cl 0.0166 0.3678 0.6344
Cl11 Cl 0.9834 0.3512 0.1344
Cl12 Cl 0.0166 0.6488 0.8656
Na1 Na 0.0000 0.0000 0.5000
Na2 Na 0.0000 0.0000 0.0000
Zn1 Zn 0.3333 0.6667 0.7500
Zn2 Zn 0.6667 0.3333 0.2500
Tl1 Tl 0.3333 0.6667 0.2500
Tl2 Tl 0.6667 0.3333 0.7500
# Formation energy from raw total energies, eV per atom: -1.05
# Energy, eV for the cell shown: -51.0

# PBE NaTlZnCl4, optimized geometry
data_NaTlZnCl4
_cell_length_a 6.8693
_cell_length_b 7.1463
_cell_length_c 8.5455
_cell_angle_alpha 90.00
_cell_angle_beta 106.98
_cell_angle_gamma 90.00
_symmetry_space_group_name_H-M 'P 1'
_symmetry_Int_Tables_number 1
_symmetry_space_group_name_Hall 'P 1'
loop_
_atom_site_label
_atom_site_type_symbol
_atom_site_fract_x
_atom_site_fract_y
_atom_site_fract_z
Zn1 Zn 0.2384 0.7500 0.3255
Zn2 Zn 0.7616 0.2500 0.6745
Cl1 Cl 0.4323 0.7500 0.1496
Cl2 Cl 0.0141 0.9972 0.2800
Cl3 Cl 0.0141 0.5028 0.2800
Cl4 Cl 0.9859 0.4972 0.7200
Cl5 Cl 0.4529 0.7500 0.5837
Cl6 Cl 0.5471 0.2500 0.4163
Cl7 Cl 0.9859 0.0028 0.7200
Cl8 Cl 0.5677 0.2500 0.8504
Na1 Na 0.7806 0.7500 0.4453
Na2 Na 0.2194 0.2500 0.5547
Tl1 Tl 0.2513 0.2500 0.0648
Tl2 Tl 0.7487 0.7500 0.9352
# Formation energy from raw total energies, eV per atom: -1.30
# Energy, eV for the cell shown: -43.0

# PBE NaTl2ZnCl4, optimized geometry
data_NaTl2ZnCl4
_cell_length_a 6.4670
_cell_length_b 6.8812
_cell_length_c 14.0263
_cell_angle_alpha 83.78
_cell_angle_beta 76.67
_cell_angle_gamma 61.97
_symmetry_space_group_name_H-M 'P 1'
_symmetry_Int_Tables_number 1
_symmetry_space_group_name_Hall 'P 1'
loop_
_atom_site_label
_atom_site_type_symbol
_atom_site_fract_x
_atom_site_fract_y
_atom_site_fract_z
Cl1 Cl 0.1950 0.2961 0.3980
Cl2 Cl 0.5089 0.2961 0.6020
Cl3 Cl 0.5550 0.2039 0.1020
Cl4 Cl 0.8609 0.7961 0.8980
Cl5 Cl 0.8891 0.7039 0.6020
Cl6 Cl 0.4070 0.7039 0.3980
Cl7 Cl 0.2411 0.2039 0.8980
Cl8 Cl 0.3430 0.7961 0.1020
Zn1 Zn 0.5000 0.0000 0.0000
Zn2 Zn 0.2500 0.5000 0.5000
Na1 Na 0.7500 0.5000 0.5000
Na2 Na 0.0000 0.0000 0.0000
Tl1 Tl 0.8640 0.0000 0.2721
Tl2 Tl 0.6140 0.5000 0.7721
Tl3 Tl 0.8860 0.5000 0.2279
Tl4 Tl 0.1360 0.0000 0.7279
# Formation energy from raw total energies, eV per atom: -1.01
# Energy, eV for the cell shown: -45.6

# PBE NaZrTlCl6, optimized geometry
data_NaZrTlCl6
_cell_length_a 7.0770
_cell_length_b 7.0770
_cell_length_c 13.4101
_cell_angle_alpha 90.00
_cell_angle_beta 90.00
_cell_angle_gamma 120.00
_symmetry_space_group_name_H-M 'P 1'
_symmetry_Int_Tables_number 1
_symmetry_space_group_name_Hall 'P 1'
loop_
_atom_site_label
_atom_site_type_symbol
_atom_site_fract_x
_atom_site_fract_y
_atom_site_fract_z
Cl1 Cl 0.3542 0.9643 0.6421
Cl2 Cl 0.6101 0.6458 0.6421
Cl3 Cl 0.3899 0.0357 0.1421
Cl4 Cl 0.3899 0.3542 0.3579
Cl5 Cl 0.9643 0.6101 0.3579
Cl6 Cl 0.6458 0.6101 0.1421
Cl7 Cl 0.0357 0.3899 0.6421
Cl8 Cl 0.0357 0.6458 0.8579
Cl9 Cl 0.9643 0.3542 0.1421
Cl10 Cl 0.6101 0.9643 0.8579
Cl11 Cl 0.6458 0.0357 0.3579
Cl12 Cl 0.3542 0.3899 0.8579
Zr1 Zr 0.3333 0.6667 0.7500
Zr2 Zr 0.6667 0.3333 0.2500
Tl1 Tl 0.0000 0.0000 0.5000
Tl2 Tl 0.0000 0.0000 0.0000
Na1 Na 0.3333 0.6667 0.2500
Na2 Na 0.6667 0.3333 0.7500
# Formation energy from raw total energies, eV per atom: -1.66
# Energy, eV for the cell shown: -76.6